No. 1
An optimized crystal structure of AlTl2Cl. Source: Alexandria, functional GGA-PBEsol.

Magnetic moment ... 0.00 μB/f.u.
Raw formation energy ... -1.2 kJ per mole of atoms

abc: 5.191 5.191 5.191
angles: 60.00 60.00 60.00
Positions (direct):
Tl: 0.250 0.250 0.250
Tl: 0.750 0.750 0.750
Al: 0.000 0.000 0.000
Cl: 0.500 0.500 0.500


No. 2
An optimized crystal structure of Al2VCl8. Source: Alexandria, functional GGA-PBEsol.

Magnetic moment ... 3.00 μB/f.u.
Raw formation energy ... -132.8 kJ per mole of atoms

abc: 7.950 9.395 9.746
angles: 73.93 65.93 64.97
Positions (direct):
Al: 0.674 0.636 0.530
Al: 0.840 0.864 0.970
Al: 0.326 0.364 0.470
Al: 0.160 0.136 0.030
V: 0.998 0.750 0.250
V: 0.002 0.250 0.750
Cl: 0.377 0.758 0.551
Cl: 0.623 0.242 0.449
Cl: 0.133 0.714 0.982
Cl: 0.712 0.953 0.188
Cl: 0.867 0.286 0.018
Cl: 0.853 0.547 0.312
Cl: 0.315 0.258 0.051
Cl: 0.288 0.047 0.812
Cl: 0.857 0.053 0.781
Cl: 0.172 0.214 0.482
Cl: 0.143 0.947 0.219
Cl: 0.147 0.453 0.688
Cl: 0.828 0.786 0.518
Cl: 0.691 0.447 0.719
Cl: 0.685 0.742 0.949
Cl: 0.309 0.553 0.281


No. 3
An optimized crystal structure of AlWCl. Source: Alexandria, functional GGA-PBEsol.

Magnetic moment ... 0.83 μB/f.u.
Raw formation energy ... 124.4 kJ per mole of atoms

abc: 4.319 4.319 4.319
angles: 60.00 60.00 60.00
Positions (direct):
Al: 0.000 0.000 0.000
W: 0.750 0.750 0.750
Cl: 0.500 0.500 0.500


No. 4
An optimized crystal structure of AlWCl2. Source: Alexandria, functional GGA-PBEsol.

Magnetic moment ... 0.17 μB/f.u.
Raw formation energy ... 35.7 kJ per mole of atoms

abc: 2.839 4.342 5.318
angles: 90.00 90.00 90.00
Positions (direct):
Al: 0.000 0.500 0.500
W: 0.500 0.500 0.000
Cl: 0.000 0.000 0.000
Cl: 0.500 0.000 0.500


No. 5
An optimized crystal structure of AlWCl2. Source: Alexandria, functional GGA-PBEsol.

Magnetic moment ... 1.32 μB/f.u.
Raw formation energy ... 25.2 kJ per mole of atoms

abc: 2.933 5.942 5.942
angles: 72.51 75.71 75.71
Positions (direct):
Al: 0.242 0.258 0.258
W: 0.508 0.492 0.492
Cl: 0.942 0.058 0.058
Cl: 0.807 0.693 0.693


No. 6
An optimized crystal structure of AlW4Cl. Source: Alexandria, functional GGA-PBEsol.

Magnetic moment ... 0.00 μB/f.u.
Raw formation energy ... 100.1 kJ per mole of atoms

abc: 5.279 5.279 5.279
angles: 60.00 60.00 60.00
Positions (direct):
Al: 0.750 0.750 0.750
Cl: 0.000 0.000 0.000
W: 0.373 0.373 0.373
W: 0.373 0.373 0.880
W: 0.880 0.373 0.373
W: 0.373 0.880 0.373


No. 7
An optimized crystal structure of AlWCl2. Source: Alexandria, functional GGA-PBEsol.

Magnetic moment ... 0.00 μB/f.u.
Raw formation energy ... 8.5 kJ per mole of atoms

abc: 2.992 2.992 10.848
angles: 82.07 82.07 60.00
Positions (direct):
Al: 0.000 0.000 0.000
W: 0.500 0.500 0.500
Cl: 0.222 0.222 0.335
Cl: 0.778 0.778 0.665


No. 8
An optimized crystal structure of YAlCl2. Source: Alexandria, functional GGA-PBEsol.

Magnetic moment ... 0.00 μB/f.u.
Raw formation energy ... -103.3 kJ per mole of atoms

abc: 3.397 3.397 9.717
angles: 79.93 79.93 60.00
Positions (direct):
Y: 0.500 0.500 0.500
Al: 0.000 0.000 0.000
Cl: 0.232 0.232 0.305
Cl: 0.768 0.768 0.695


No. 9
An optimized crystal structure of YAl4Cl. Source: Alexandria, functional GGA-PBEsol.

Magnetic moment ... 0.00 μB/f.u.
Raw formation energy ... -24.0 kJ per mole of atoms

abc: 5.508 5.508 5.508
angles: 60.00 60.00 60.00
Positions (direct):
Y: 0.000 0.000 0.000
Al: 0.878 0.374 0.374
Al: 0.374 0.374 0.374
Al: 0.374 0.374 0.878
Al: 0.374 0.878 0.374
Cl: 0.750 0.750 0.750


No. 10
An optimized crystal structure of YAlCl. Source: Alexandria, functional GGA-PBEsol.

Magnetic moment ... 0.00 μB/f.u.
Raw formation energy ... -57.3 kJ per mole of atoms

abc: 3.631 4.664 4.664
angles: 120.00 90.00 90.00
Positions (direct):
Y: 0.000 0.667 0.333
Al: 0.500 0.000 0.000
Cl: 0.000 0.333 0.667


No. 11
An optimized crystal structure of YAl2Cl. Source: Alexandria, functional GGA-PBEsol.

Magnetic moment ... 0.00 μB/f.u.
Raw formation energy ... -51.2 kJ per mole of atoms

abc: 3.315 4.321 6.142
angles: 98.64 105.66 90.00
Positions (direct):
Y: 0.500 0.000 0.000
Al: 0.237 0.236 0.473
Al: 0.763 0.764 0.527
Cl: 0.000 0.500 0.000


No. 12
An optimized crystal structure of Y2AlCl. Source: Alexandria, functional GGA-PBEsol.

Magnetic moment ... 0.00 μB/f.u.
Raw formation energy ... -53.8 kJ per mole of atoms

abc: 3.371 3.371 9.601
angles: 90.00 90.00 90.00
Positions (direct):
Y: 0.000 0.000 0.973
Y: 0.500 0.500 0.262
Al: 0.000 0.000 0.453
Cl: 0.500 0.500 0.812


What did the ninth record say?
An optimized crystal structure of YAl4Cl. Source: Alexandria, functional GGA-PBEsol.

Magnetic moment ... 0.00 μB/f.u.
Raw formation energy ... -24.0 kJ per mole of atoms

abc: 5.508 5.508 5.508
angles: 60.00 60.00 60.00
Positions (direct):
Y: 0.000 0.000 0.000
Al: 0.878 0.374 0.374
Al: 0.374 0.374 0.374
Al: 0.374 0.374 0.878
Al: 0.374 0.878 0.374
Cl: 0.750 0.750 0.750